# 1
Entry from Alexandria via LeMat-Bulk: an optimized crystal structure of LiInAu (PBEsol).

The calculation puts the formation enthalpy at 0 K at -0.209 eV/atom. Its total energy is -9.5 eV/cell. The calculation puts the density of states at the Fermi level at 1.3 states/eV/cell. The total magnetization comes out at 0.000 μB/atom.

abc: 4.2751 4.2751 4.2751
angles: 60.00 60.00 60.00
Fractional coordinates of all 3 atoms:
Li: 0.0000 0.0000 0.0000
In: 0.2500 0.2500 0.2500
Au: 0.7500 0.7500 0.7500


# 2
Entry from Alexandria via LeMat-Bulk: an optimized crystal structure of Li2InAu2 (PBEsol).

The calculation puts the formation enthalpy at 0 K at -0.438 eV/atom. Its total energy is -33.9 eV/cell. The calculation puts the density of states at the Fermi level at 3.5 states/eV/cell. The total magnetization comes out at 0.000 μB/atom.

abc: 7.3569 7.3569 3.0965
angles: 90.00 90.00 90.00
Fractional coordinates of all 10 atoms:
Li: 0.1580 0.3420 0.0000
Li: 0.3420 0.8420 0.0000
Li: 0.6580 0.1580 0.0000
Li: 0.8420 0.6580 0.0000
In: 0.0000 0.0000 0.5000
In: 0.5000 0.5000 0.5000
Au: 0.1375 0.6375 0.5000
Au: 0.3625 0.1375 0.5000
Au: 0.6375 0.8625 0.5000
Au: 0.8625 0.3625 0.5000


# 3
Entry from Alexandria via LeMat-Bulk: an optimized crystal structure of Li2InAu (PBEsol).

The calculation puts the formation enthalpy at 0 K at -0.493 eV/atom. Its total energy is -12.8 eV/cell. The calculation puts the density of states at the Fermi level at 1.2 states/eV/cell. The total magnetization comes out at 0.000 μB/atom.

abc: 4.5540 4.5540 4.5540
angles: 120.27 120.27 89.54
Fractional coordinates of all 4 atoms:
Li: 0.0000 0.0000 0.0000
Li: 0.7500 0.2500 0.5000
In: 0.5000 0.5000 0.0000
Au: 0.2500 0.7500 0.5000


# 4
Entry from Alexandria via LeMat-Bulk: an optimized crystal structure of LiInTc2Au (PBEsol).

The calculation puts the formation enthalpy at 0 K at 1.109 eV/atom. Its total energy is -25.9 eV/cell. The calculation puts the density of states at the Fermi level at 5.8 states/eV/cell. The total magnetization comes out at 0.165 μB/atom.

abc: 4.1880 4.1880 4.3784
angles: 90.00 90.00 90.00
Fractional coordinates of all 5 atoms:
Li: 0.0000 0.0000 0.0000
In: 0.0000 0.0000 0.5000
Tc: 0.0000 0.5000 0.0000
Tc: 0.5000 0.0000 0.0000
Au: 0.5000 0.5000 0.5000


# 5
Entry from Alexandria via LeMat-Bulk: an optimized crystal structure of LuInAu (PBEsol).

The calculation puts the formation enthalpy at 0 K at -0.773 eV/atom. Its total energy is -42.3 eV/cell. The calculation puts the density of states at the Fermi level at 3.0 states/eV/cell. The total magnetization comes out at 0.000 μB/atom.

abc: 7.6368 7.6368 3.7640
angles: 90.00 90.00 120.00
Fractional coordinates of all 9 atoms:
Lu: 0.0000 0.4002 0.0000
Lu: 0.4002 0.0000 0.0000
Lu: 0.5998 0.5998 0.0000
In: 0.0000 0.7327 0.5000
In: 0.2673 0.2673 0.5000
In: 0.7327 0.0000 0.5000
Au: 0.0000 0.0000 0.0000
Au: 0.3333 0.6667 0.5000
Au: 0.6667 0.3333 0.5000


# 6
Entry from Alexandria via LeMat-Bulk: an optimized crystal structure of LuInAu2 (PBEsol).

The calculation puts the formation enthalpy at 0 K at -0.722 eV/atom. Its total energy is -18.6 eV/cell. The calculation puts the density of states at the Fermi level at 1.6 states/eV/cell. The total magnetization comes out at 0.000 μB/atom.

abc: 4.7997 4.7997 4.7997
angles: 60.00 60.00 60.00
Fractional coordinates of all 4 atoms:
Lu: 0.0000 0.0000 0.0000
In: 0.5000 0.5000 0.5000
Au: 0.2500 0.2500 0.2500
Au: 0.7500 0.7500 0.7500


# 7
Entry from Alexandria via LeMat-Bulk: an optimized crystal structure of MgIn2Au2 (PBEsol).

The calculation puts the formation enthalpy at 0 K at -0.149 eV/atom. Its total energy is -16.3 eV/cell. The calculation puts the density of states at the Fermi level at 2.3 states/eV/cell. The total magnetization comes out at 0.000 μB/atom.

abc: 7.1269 7.1269 7.1269
angles: 146.52 146.52 48.07
Fractional coordinates of all 5 atoms:
Mg: 0.0000 0.0000 0.0000
In: 0.2500 0.7500 0.5000
In: 0.7500 0.2500 0.5000
Au: 0.3995 0.3995 0.0000
Au: 0.6005 0.6005 0.0000


# 8
Entry from Alexandria via LeMat-Bulk: an optimized crystal structure of MgIn2Au (PBEsol).

The calculation puts the formation enthalpy at 0 K at -0.183 eV/atom. Its total energy is -12.3 eV/cell. The calculation puts the density of states at the Fermi level at 1.4 states/eV/cell. The total magnetization comes out at 0.000 μB/atom.

abc: 5.3150 5.3150 5.3150
angles: 131.40 131.40 71.17
Fractional coordinates of all 4 atoms:
Mg: 0.0000 0.0000 0.0000
In: 0.2500 0.7500 0.5000
In: 0.5000 0.5000 0.0000
Au: 0.7500 0.2500 0.5000


Which of these has the highest formation enthalpy at 0 K? LiInTc2Au